No. 1
A geometry-optimized Y4GaBr5 structure. Source: the Alexandria database, functional PBE-GGA.

The space group is C2/m (No. 12) and the conventional cell measures 18.3103, 4.0806 and 8.4086 Å, with angles of 90.00, 102.59 and 90.00 degrees. Symmetry generates all atoms from Y at (0.0010, 0.0000, 0.2272), Y at (0.1524, 0.5000, 0.0801), Ga at (0.0000, 0.5000, 0.0000), Br at (0.0000, 0.5000, 0.5000), Br at (0.1674, 0.0000, 0.3304) and Br at (0.1735, 0.0000, 0.8397).

For the energy relative to the elements, uncorrected, the calculation gives -13.90 eV per formula unit.

---

No. 2
A geometry-optimized LiCeAlGe2 structure. Source: the Alexandria database, functional PBE-GGA.

The space group is I-4m2 (No. 119) and the conventional cell measures 4.1115, 4.1115 and 11.4263 Å, with angles of 90.00, 90.00 and 90.00 degrees. Symmetry generates all atoms from Li at (0.0000, 0.0000, 0.0000), Ce at (0.0000, 0.5000, 0.2500), Al at (0.0000, 0.0000, 0.5000) and Ge at (0.0000, 0.5000, 0.6370).

Its formation energy is -0.526 eV per atom.

---

No. 3
A geometry-optimized Cs2AcPaS6 structure. Source: the Alexandria database, functional PBE-GGA.

The space group is C2/m (No. 12) and the conventional cell measures 13.6421, 7.8833 and 7.8738 Å, with angles of 90.00, 125.23 and 90.00 degrees. Symmetry generates all atoms from Cs at (0.2500, 0.0000, 0.2500), Ac at (0.0000, 0.0000, 0.5000), Pa at (0.0000, 0.5000, 0.0000), S at (0.0000, 0.2643, 0.2357) and S at (0.2357, 0.5000, 0.2357).

For the energy relative to the elements, uncorrected, the calculation gives -13.76 eV per formula unit.

---

No. 4
A geometry-optimized UTc5 structure. Source: the Alexandria database, functional PBE-GGA.

The space group is Cmmm (No. 65) and the conventional cell measures 4.0531, 12.1208 and 3.8989 Å, with angles of 90.00, 90.00 and 90.00 degrees. Symmetry generates all atoms from U at (0.0000, 0.0000, 0.0000), Tc at (0.0000, 0.1749, 0.5000), Tc at (0.0000, 0.3161, 0.0000) and Tc at (0.0000, 0.5000, 0.5000).

Its formation energy is -0.024 eV per atom.

---

No. 5
A geometry-optimized Dy2Ag2Au structure. Source: the Alexandria database, functional PBE-GGA.

The space group is Ibam (No. 72) and the conventional cell measures 6.6590, 12.8459 and 5.5424 Å, with angles of 90.00, 90.00 and 90.00 degrees. Symmetry generates all atoms from Dy at (0.2150, 0.1678, 0.0000), Ag at (0.1389, 0.4108, 0.0000) and Au at (0.0000, 0.0000, 0.2500).

The calculation puts the excess energy over the best structure of this formula in the dataset at 124 meV per atom. Its formation energy is -0.305 eV per atom.

---

| no. | E_tot (eV per atom) | ρ (g/cm3) | total magnetization (μB/f.u.) |
| --- | --- | --- | --- |
| 1 | -5.11 | 4.468 | 0.0 |
| 2 | -4.69 | 5.490 | 0.5 |
| 3 | -5.38 | 4.399 | 0.0 |
| 4 | -10.54 | 12.623 | 0.0 |
| 5 | -3.94 | 10.335 | 0.0 |